1.
Crystalline PtAu2 at its relaxed geometry. Source: the Alexandria database, functional PBE-GGA.

```
data_PtAu2
_chemical_formula_sum 'Pt1 Au2'
_cell_length_a 4.734
_cell_length_b 4.734
_cell_length_c 2.786
_cell_angle_alpha 90.00
_cell_angle_beta 90.00
_cell_angle_gamma 90.00
_symmetry_space_group_name_H-M 'P 4/m m m'
_symmetry_Int_Tables_number 123
_symmetry_space_group_name_Hall '-P 4 2'
loop_
_atom_site_label
_atom_site_type_symbol
_atom_site_fract_x
_atom_site_fract_y
_atom_site_fract_z
Pt1 Pt 0.000 0.000 0.000
Au1 Au 0.000 0.500 0.500
```

Output
excess energy over the best structure of this formula in the dataset = 80 meV per atom
density of states at the Fermi level = 2.3 states/eV/f.u.
formation energy from the elements = 0.106 eV/atom
total magnetic moment = 0.00 μB per formula unit

---

2.
Crystalline NaSc3Se4 at its relaxed geometry. Source: the Alexandria database, functional PBE-GGA.

```
data_NaSc3Se4
_chemical_formula_sum 'Na2 Sc6 Se8'
_cell_length_a 3.8979
_cell_length_b 3.8979
_cell_length_c 26.7643
_cell_angle_alpha 90.00
_cell_angle_beta 90.00
_cell_angle_gamma 120.00
_symmetry_space_group_name_H-M 'P 63/m m c'
_symmetry_Int_Tables_number 194
_symmetry_space_group_name_Hall '-P 6c 2c'
loop_
_atom_site_label
_atom_site_type_symbol
_atom_site_fract_x
_atom_site_fract_y
_atom_site_fract_z
Na1 Na 0.3333 0.6667 0.2500
Sc1 Sc 0.0000 0.0000 0.0000
Sc2 Sc 0.3333 0.6667 0.6183
Se1 Se 0.0000 0.0000 0.1749
Se2 Se 0.3333 0.6667 0.0588
```

Output
density of states at the Fermi level = 3.4 states/eV/f.u.
formation energy (no corrections) = -1.589 eV/atom
total magnetic moment = 0.00 μB per formula unit

---

3.
Crystalline Tb3SnGe at its relaxed geometry. Source: the Alexandria database, functional PBE-GGA.

```
data_Tb3SnGe
_chemical_formula_sum 'Tb24 Sn8 Ge8'
_cell_length_a 12.387
_cell_length_b 11.080
_cell_length_c 8.320
_cell_angle_alpha 90.00
_cell_angle_beta 90.04
_cell_angle_gamma 90.00
_symmetry_space_group_name_H-M 'C 1 2/c 1'
_symmetry_Int_Tables_number 15
_symmetry_space_group_name_Hall '-C 2yc'
loop_
_atom_site_label
_atom_site_type_symbol
_atom_site_fract_x
_atom_site_fract_y
_atom_site_fract_z
Tb1 Tb 0.099 0.096 0.416
Tb2 Tb 0.105 0.406 0.583
Tb3 Tb 0.250 0.177 0.809
Sn1 Sn 0.000 0.159 0.750
Sn2 Sn 0.000 0.347 0.250
Ge1 Ge 0.245 0.059 0.128
```

Output
density of states at the Fermi level = 2.9 states/eV/f.u.
formation energy from the elements = -0.628 eV/atom
total magnetic moment = 0.00 μB per formula unit

---

The highest density of states at the Fermi level belongs to which entry? NaSc3Se4